Crystalline Zr2PaPb at its relaxed geometry, computed with GGA-PBE. Values from VASP.

Quantum ESPRESSO input file:
```
&SYSTEM
  ibrav = 0, nat = 4, ntyp = 3
/
ATOMIC_SPECIES
Zr 91.22 Zr.upf
Pa 231.04 Pa.upf
Pb 207.20 Pb.upf
CELL_PARAMETERS angstrom
4.869 0.000 0.000
0.000 4.869 0.000
0.000 0.000 3.964
ATOMIC_POSITIONS crystal
Zr 0.000 0.500 0.000
Zr 0.500 0.000 0.000
Pa 0.000 0.000 0.500
Pb 0.500 0.500 0.500
```

* space-group type: P4/mmm, No. 123

---

Crystalline RbCaNb at its relaxed geometry, computed with GGA-PBE. Values from VASP.

Quantum ESPRESSO input file:
```
&SYSTEM
  ibrav = 0, nat = 12, ntyp = 3
/
ATOMIC_SPECIES
Rb 85.47 Rb.upf
Ca 40.08 Ca.upf
Nb 92.91 Nb.upf
CELL_PARAMETERS angstrom
31.130 0.000 0.000
0.000 3.614 0.000
-0.008 0.000 4.608
ATOMIC_POSITIONS crystal
Rb 0.182 0.000 0.249
Rb 0.318 0.500 0.751
Rb 0.682 0.500 0.249
Rb 0.818 0.000 0.751
Ca 0.071 0.500 0.751
Ca 0.429 0.000 0.249
Ca 0.571 0.000 0.751
Ca 0.929 0.500 0.249
Nb 0.015 0.000 0.250
Nb 0.485 0.500 0.750
Nb 0.515 0.500 0.250
Nb 0.985 0.000 0.750
```

* space-group type: C2/m, No. 12

---

Number 1: E_form -0.10 eV per atom. Number 2: E_form 0.52 eV per atom.